Entry 1:
Compound: Be2SnIr2
Source: Alexandria via LeMat-Bulk
Functional: PBE
Structure: optimized geometry

Summary:
The total DFT energy (no corrections) is -6.03 eV/atom. The density is 12.54 g/cm³. The space group is P4/mbm (127). As for the formation energy from the elements: -0.190 eV per atom. The energy relative to the lowest polymorph listed for this composition is 5.51 kJ/mol of atoms. The density of states at the Fermi level comes out at 4.164 states/eV per cell.

Cell lengths 6.901, 6.901, 2.898 Å; angles 90.00, 90.00, 90.00 degrees
Atoms (fractional coordinates):
Be 0.137 0.637 0.500
Be 0.637 0.863 0.500
Be 0.863 0.363 0.500
Be 0.363 0.137 0.500
Ir 0.350 0.850 0.000
Ir 0.850 0.650 0.000
Ir 0.650 0.150 0.000
Ir 0.150 0.350 0.000
Sn 0.000 0.000 0.000
Sn 0.500 0.500 0.000

=====

Entry 2:
Compound: Be2SnIr2
Source: Alexandria via LeMat-Bulk
Functional: PBE
Structure: optimized geometry

Summary:
The total DFT energy (no corrections) is -6.08 eV/atom. The density is 12.75 g/cm³. The space group is I4/mmm (139). As for the formation energy from the elements: -0.247 eV per atom. The energy relative to the lowest polymorph listed for this composition is 0.08 kJ/mol of atoms. The density of states at the Fermi level comes out at 0.152 states/eV per cell.

Cell lengths 3.164, 3.164, 7.140 Å; angles 77.20, 77.20, 90.00 degrees
Atoms (fractional coordinates):
Be 0.750 0.250 0.500
Be 0.250 0.750 0.500
Ir 0.380 0.380 0.240
Ir 0.620 0.620 0.760
Sn 0.000 0.000 0.000

=====

Entry 3:
Compound: Be2SnIr
Source: Alexandria via LeMat-Bulk
Functional: PBE
Structure: optimized geometry

Summary:
The total DFT energy (no corrections) is -4.86 eV/atom. The density is 8.41 g/cm³. The space group is I-42d (122). As for the formation energy from the elements: 0.218 eV per atom. The density of states at the Fermi level comes out at 5.754 states/eV per cell.

Cell lengths 4.034, 4.034, 8.481 Å; angles 76.24, 76.24, 90.00 degrees
Atoms (fractional coordinates):
Be 0.815 0.125 0.250
Be 0.935 0.625 0.250
Be 0.375 0.185 0.750
Be 0.875 0.065 0.750
Ir 0.000 0.000 0.000
Ir 0.750 0.250 0.500
Sn 0.500 0.500 0.000
Sn 0.250 0.750 0.500

=====

Entry 4:
Compound: BeSn3Ir
Source: Alexandria via LeMat-Bulk
Functional: PBE
Structure: optimized geometry

Summary:
The total DFT energy (no corrections) is -4.18 eV/atom. The density is 8.63 g/cm³. The space group is Pm-3m (221). As for the formation energy from the elements: 0.740 eV per atom. The energy relative to the lowest polymorph listed for this composition is 10.32 kJ/mol of atoms. The density of states at the Fermi level comes out at 3.443 states/eV per cell.

Cell lengths 4.750, 4.750, 4.750 Å; angles 90.00, 90.00, 90.00 degrees
Atoms (fractional coordinates):
Be 0.000 0.000 0.000
Ir 0.500 0.500 0.500
Sn 0.000 0.500 0.000
Sn 0.000 0.000 0.500
Sn 0.500 0.000 0.000

=====

Entry 5:
Compound: BeSn2Ir2
Source: Alexandria via LeMat-Bulk
Functional: PBE
Structure: optimized geometry

Summary:
The total DFT energy (no corrections) is -5.91 eV/atom. The density is 12.24 g/cm³. The space group is P4/mbm (127). As for the formation energy from the elements: -0.022 eV per atom. The density of states at the Fermi level comes out at 2.712 states/eV per cell.

Cell lengths 6.432, 6.432, 4.137 Å; angles 90.00, 90.00, 90.00 degrees
Atoms (fractional coordinates):
Be 0.000 0.000 0.000
Be 0.500 0.500 0.000
Ir 0.346 0.846 0.000
Ir 0.846 0.654 0.000
Ir 0.654 0.154 0.000
Ir 0.154 0.346 0.000
Sn 0.162 0.662 0.500
Sn 0.662 0.838 0.500
Sn 0.838 0.338 0.500
Sn 0.338 0.162 0.500

=====

Entry 6:
Compound: BeSnIr3
Source: Alexandria via LeMat-Bulk
Functional: PBE
Structure: optimized geometry

Summary:
The total DFT energy (no corrections) is -4.77 eV/atom. The density is 10.38 g/cm³. The space group is Pm-3m (221). As for the formation energy from the elements: 2.089 eV per atom. The energy relative to the lowest polymorph listed for this composition is 188.75 kJ/mol of atoms. The density of states at the Fermi level comes out at 5.930 states/eV per cell.

Cell lengths 4.830, 4.830, 4.830 Å; angles 90.00, 90.00, 90.00 degrees
Atoms (fractional coordinates):
Be 0.500 0.500 0.500
Ir 0.000 0.500 0.000
Ir 0.000 0.000 0.500
Ir 0.500 0.000 0.000
Sn 0.000 0.000 0.000

=====

Entry 7:
Compound: BeSnTe2Ir
Source: Alexandria via LeMat-Bulk
Functional: PBE
Structure: optimized geometry

Summary:
The total DFT energy (no corrections) is -4.09 eV/atom. The density is 8.50 g/cm³. The space group is P4/mmm (123). The density of states at the Fermi level comes out at 4.821 states/eV per cell. The formation energy (no corrections) comes out at 0.480 eV/atom.

Cell lengths 5.169, 4.204, 5.169 Å; angles 90.00, 90.00, 90.00 degrees
Atoms (fractional coordinates):
Be 0.000 0.000 0.000
Ir 0.000 0.500 0.000
Te 0.000 0.000 0.500
Te 0.500 0.000 0.000
Sn 0.500 0.500 0.500

=====

Entry 8:
Compound: Sr2BeIr
Source: Alexandria via LeMat-Bulk
Functional: PBE
Structure: optimized geometry

Summary:
The total DFT energy (no corrections) is -3.55 eV/atom. The density is 6.75 g/cm³. The space group is I-4m2 (119). As for the formation energy from the elements: 0.435 eV per atom. The density of states at the Fermi level comes out at 2.520 states/eV per cell.

Cell lengths 5.505, 5.505, 5.505 Å; angles 131.12, 131.12, 71.63 degrees
Atoms (fractional coordinates):
Sr 0.000 0.000 0.000
Sr 0.250 0.750 0.500
Ir 0.750 0.250 0.500
Be 0.500 0.500 0.000

=====

Entry 9:
Compound: SrBe2Ir
Source: Alexandria via LeMat-Bulk
Functional: PBE
Structure: optimized geometry

Summary:
The total DFT energy (no corrections) is -4.15 eV/atom. The density is 7.84 g/cm³. The space group is I4/mmm (139). As for the formation energy from the elements: 0.345 eV per atom. The energy relative to the lowest polymorph listed for this composition is 63.70 kJ/mol of atoms. The density of states at the Fermi level comes out at 1.104 states/eV per cell.

Cell lengths 4.633, 4.633, 4.633 Å; angles 125.82, 125.82, 80.19 degrees
Atoms (fractional coordinates):
Sr 0.750 0.250 0.500
Ir 0.250 0.750 0.500
Be 0.000 0.000 0.000
Be 0.500 0.500 0.000

=====

Entry 10:
Compound: SrBe2Ir
Source: Alexandria via LeMat-Bulk
Functional: PBE
Structure: optimized geometry

Summary:
The total DFT energy (no corrections) is -4.80 eV/atom. The density is 6.69 g/cm³. The space group is Cm (8). As for the formation energy from the elements: -0.298 eV per atom. The energy relative to the lowest polymorph listed for this composition is 1.74 kJ/mol of atoms. The density of states at the Fermi level comes out at 1.958 states/eV per cell.

Cell lengths 3.944, 3.944, 5.940 Å; angles 70.70, 70.70, 59.97 degrees
Atoms (fractional coordinates):
Sr 0.753 0.753 0.739
Ir 0.564 0.564 0.309
Be 0.932 0.932 0.203
Be 0.250 0.250 0.249

=====

Entry 11:
Compound: SrBe2Ir
Source: Alexandria via LeMat-Bulk
Functional: PBE
Structure: optimized geometry

Summary:
The total DFT energy (no corrections) is -4.52 eV/atom. The density is 7.81 g/cm³. The space group is P4/mmm (123). As for the formation energy from the elements: -0.025 eV per atom. The energy relative to the lowest polymorph listed for this composition is 28.03 kJ/mol of atoms. The density of states at the Fermi level comes out at 2.013 states/eV per cell.

Cell lengths 3.019, 3.020, 6.942 Å; angles 90.00, 90.00, 90.00 degrees
Atoms (fractional coordinates):
Sr 0.500 0.500 0.750
Ir 0.500 0.500 0.250
Be 0.000 0.000 0.091
Be 0.000 0.000 0.409

=====

Entry 12:
Compound: SrBe2Ir
Source: Alexandria via LeMat-Bulk
Functional: PBE
Structure: optimized geometry

Summary:
The total DFT energy (no corrections) is -4.32 eV/atom. The density is 6.55 g/cm³. The space group is Immm (71). As for the formation energy from the elements: 0.180 eV per atom. The energy relative to the lowest polymorph listed for this composition is 47.87 kJ/mol of atoms. The density of states at the Fermi level comes out at 1.575 states/eV per cell.

Cell lengths 4.877, 4.877, 4.877 Å; angles 132.78, 111.79, 87.11 degrees
Atoms (fractional coordinates):
Sr 0.250 0.750 0.500
Ir 0.750 0.250 0.500
Be 0.907 0.907 0.000
Be 0.593 0.593 0.000